# HoEr4As5

A geometry-optimized HoEr4As5 structure (PBE-GGA, Alexandria).

```
data_HoEr4As5
_chemical_formula_sum 'Ho2 Er8 As10'
_space_group_name_H-M_alt 'I 4/m'
_space_group_IT_number 87
_space_group_name_Hall '-I 4'
_cell_length_a 9.137
_cell_length_b 9.137
_cell_length_c 5.778
_cell_angle_alpha 90.00
_cell_angle_beta 90.00
_cell_angle_gamma 90.00
loop_
_atom_site_label
_atom_site_fract_x
_atom_site_fract_y
_atom_site_fract_z
Ho1 0.000 0.000 0.000
Er1 0.100 0.300 0.500
As1 0.000 0.000 0.500
As2 0.100 0.301 0.000
```

Output
As for the formation energy: -1.523 eV per atom. The density of states at the Fermi level comes out at 0.729 states/eV/f.u. The value obtained for the calculated density is 8.3 Mg/m³.

---

# HoEr2As

A geometry-optimized HoEr2As structure (PBE-GGA, Alexandria).

```
data_HoEr2As
_chemical_formula_sum 'Ho3 Er6 As3'
_space_group_name_H-M_alt 'R -3 m'
_space_group_IT_number 166
_space_group_name_Hall '-R 3 2"'
_cell_length_a 3.8097
_cell_length_b 3.8097
_cell_length_c 28.0888
_cell_angle_alpha 90.00
_cell_angle_beta 90.00
_cell_angle_gamma 120.00
loop_
_atom_site_label
_atom_site_fract_x
_atom_site_fract_y
_atom_site_fract_z
Ho1 0.0000 0.0000 0.0000
Er1 0.0000 0.0000 0.2282
As1 0.0000 0.0000 0.5000
```

Output
As for the formation energy: -0.574 eV per atom. The density of states at the Fermi level comes out at 4.907 states/eV/f.u. The value obtained for the calculated density is 8.1 Mg/m³.

---

# HoEr5As6

A geometry-optimized HoEr5As6 structure (PBE-GGA, Alexandria).

```
data_HoEr5As6
_chemical_formula_sum 'Ho2 Er10 As12'
_space_group_name_H-M_alt 'C 1 2/m 1'
_space_group_IT_number 12
_space_group_name_Hall '-C 2y'
_cell_length_a 7.078
_cell_length_b 12.255
_cell_length_c 7.074
_cell_angle_alpha 90.00
_cell_angle_beta 109.47
_cell_angle_gamma 90.00
loop_
_atom_site_label
_atom_site_fract_x
_atom_site_fract_y
_atom_site_fract_z
Ho1 0.000 0.000 0.000
Er1 0.000 0.166 0.500
Er2 0.000 0.333 0.000
Er3 0.000 0.500 0.500
As1 0.249 0.500 0.250
As2 0.250 0.167 0.250
```

Output
As for the formation energy: -1.522 eV per atom. The density of states at the Fermi level comes out at 1.294 states/eV/f.u. The value obtained for the calculated density is 8.3 Mg/m³.

---

# Ho5Er3As8

A geometry-optimized Ho5Er3As8 structure (PBE-GGA, Alexandria).

```
data_Ho5Er3As8
_chemical_formula_sum 'Ho15 Er9 As24'
_space_group_name_H-M_alt 'R -3 m'
_space_group_IT_number 166
_space_group_name_Hall '-R 3 2"'
_cell_length_a 8.1850
_cell_length_b 8.1850
_cell_length_c 20.0501
_cell_angle_alpha 90.00
_cell_angle_beta 90.00
_cell_angle_gamma 120.00
loop_
_atom_site_label
_atom_site_fract_x
_atom_site_fract_y
_atom_site_fract_z
Ho1 0.0000 0.0000 0.0000
Ho2 0.0000 0.0000 0.5000
Ho3 0.0000 0.5000 0.0000
Er1 0.0000 0.5000 0.5000
As1 0.0000 0.0000 0.2496
As2 0.9995 0.4998 0.2498
```

Output
As for the formation energy: -1.525 eV per atom. The density of states at the Fermi level comes out at 2.782 states/eV/f.u. The value obtained for the calculated density is 8.2 Mg/m³.

---

# Ho2ErAs3

A geometry-optimized Ho2ErAs3 structure (PBE-GGA, Alexandria).

```
data_Ho2ErAs3
_chemical_formula_sum 'Ho4 Er2 As6'
_space_group_name_H-M_alt 'I 4/m m m'
_space_group_IT_number 139
_space_group_name_Hall '-I 4 2'
_cell_length_a 4.093
_cell_length_b 4.093
_cell_length_c 17.370
_cell_angle_alpha 90.00
_cell_angle_beta 90.00
_cell_angle_gamma 90.00
loop_
_atom_site_label
_atom_site_fract_x
_atom_site_fract_y
_atom_site_fract_z
Ho1 0.000 0.000 0.167
Er1 0.000 0.000 0.500
As1 0.000 0.000 0.000
As2 0.000 0.000 0.334
```

Output
As for the formation energy: -1.527 eV per atom. The density of states at the Fermi level comes out at 0.940 states/eV/f.u. The value obtained for the calculated density is 8.2 Mg/m³.

---

# La2HoEr3As6

A geometry-optimized La2HoEr3As6 structure (PBE-GGA, Alexandria).

```
data_La2HoEr3As6
_chemical_formula_sum 'La4 Ho2 Er6 As12'
_space_group_name_H-M_alt 'C 1 2/m 1'
_space_group_IT_number 12
_space_group_name_Hall '-C 2y'
_cell_length_a 18.235
_cell_length_b 4.189
_cell_length_c 8.371
_cell_angle_alpha 90.00
_cell_angle_beta 103.23
_cell_angle_gamma 90.00
loop_
_atom_site_label
_atom_site_fract_x
_atom_site_fract_y
_atom_site_fract_z
La1 0.165 0.000 0.331
Ho1 0.000 0.500 0.000
Er1 0.000 0.500 0.500
Er2 0.167 0.000 0.834
As1 0.004 0.000 0.752
As2 0.163 0.500 0.592
As3 0.166 0.500 0.072
```

Output
As for the formation energy: -1.520 eV per atom. The density of states at the Fermi level comes out at 1.686 states/eV/f.u. The value obtained for the calculated density is 7.4 Mg/m³.

---

# La2HoErAs4

A geometry-optimized La2HoErAs4 structure (PBE-GGA, Alexandria).

```
data_La2HoErAs4
_chemical_formula_sum 'La2 Ho1 Er1 As4'
_space_group_name_H-M_alt 'P 1 2/m 1'
_space_group_IT_number 10
_space_group_name_Hall '-P 2y'
_cell_length_a 7.324
_cell_length_b 4.239
_cell_length_c 7.337
_cell_angle_alpha 90.00
_cell_angle_beta 109.49
_cell_angle_gamma 90.00
loop_
_atom_site_label
_atom_site_fract_x
_atom_site_fract_y
_atom_site_fract_z
La1 0.000 0.000 0.000
La2 0.000 0.500 0.500
Ho1 0.500 0.000 0.500
Er1 0.500 0.500 0.000
As1 0.265 0.000 0.756
As2 0.265 0.500 0.254
```

Output
As for the formation energy: -1.536 eV per atom. The density of states at the Fermi level comes out at 0.802 states/eV/f.u. The value obtained for the calculated density is 7.0 Mg/m³.

---

# Nd3Ho2ErAs6

A geometry-optimized Nd3Ho2ErAs6 structure (PBE-GGA, Alexandria).

```
data_Nd3Ho2ErAs6
_chemical_formula_sum 'Nd6 Ho4 Er2 As12'
_space_group_name_H-M_alt 'C 1 2/m 1'
_space_group_IT_number 12
_space_group_name_Hall '-C 2y'
_cell_length_a 7.251
_cell_length_b 12.556
_cell_length_c 7.242
_cell_angle_alpha 90.00
_cell_angle_beta 109.47
_cell_angle_gamma 90.00
loop_
_atom_site_label
_atom_site_fract_x
_atom_site_fract_y
_atom_site_fract_z
Nd1 0.000 0.000 0.000
Nd2 0.000 0.333 0.000
Ho1 0.000 0.167 0.500
Er1 0.000 0.500 0.500
As1 0.246 0.334 0.739
As2 0.247 0.000 0.739
```

Output
As for the formation energy: -1.511 eV per atom. The density of states at the Fermi level comes out at 1.802 states/eV/f.u. The value obtained for the calculated density is 7.4 Mg/m³.